Density functional theory data (PBE) for a geometry-optimized Ac2CuTe structure.

Properties
- crystal system = cubic
- energy relative to the elements, uncorrected (eV per atom) = -0.519
- energy above the most stable polymorph in this dataset (eV/atom) = 0.217
- symmetry = Fm-3m, No. 225
- V (Å³/f.u.) = 125.76

Cell: 5.6237 5.6237 5.6237 Å, 60.00 60.00 60.00°
With the nearest neighbours (Å) after each atom.
Atoms (fractional coordinates):
Ac 0.2500 0.2500 0.2500  4 Cu 3.44, 4 Te 3.44
Ac 0.7500 0.7500 0.7500  4 Te 3.44, 4 Cu 3.44
Te 0.0000 0.0000 0.0000  8 Ac 3.44
Cu 0.5000 0.5000 0.5000  8 Ac 3.44